(1)
First-principles (SCAN) data for a crystal of K2MnV4O12 relaxed with PBEsol, as listed in the Alexandria database.

Summary:
As for the uncorrected formation energy: -2.535 eV/atom.

Cell lengths 8.225, 8.459, 9.088 Å; angles 90.00, 90.00, 109.79 degrees
Sites, in units of the cell vectors:
K (0.634, 0.906, 0.293)
K (0.866, 0.594, 0.793)
K (0.366, 0.094, 0.707)
K (0.134, 0.406, 0.207)
Mn (0.500, 0.500, 0.500)
Mn (0.000, 0.000, 0.000)
V (0.713, 0.247, 0.052)
V (0.787, 0.253, 0.552)
V (0.287, 0.753, 0.948)
V (0.213, 0.747, 0.448)
V (0.341, 0.129, 0.274)
V (0.159, 0.371, 0.774)
V (0.659, 0.871, 0.726)
V (0.841, 0.629, 0.226)
O (0.654, 0.243, 0.881)
O (0.846, 0.257, 0.381)
O (0.346, 0.757, 0.119)
O (0.154, 0.743, 0.619)
O (0.848, 0.137, 0.069)
O (0.652, 0.363, 0.569)
O (0.152, 0.863, 0.931)
O (0.348, 0.637, 0.431)
O (0.168, 0.096, 0.168)
O (0.332, 0.404, 0.668)
O (0.832, 0.904, 0.832)
O (0.668, 0.596, 0.332)
O (0.364, 0.306, 0.368)
O (0.136, 0.194, 0.868)
O (0.824, 0.465, 0.097)
O (0.676, 0.035, 0.597)
O (0.176, 0.535, 0.903)
O (0.324, 0.965, 0.403)
O (0.027, 0.655, 0.335)
O (0.473, 0.845, 0.835)
O (0.973, 0.345, 0.665)
O (0.527, 0.155, 0.165)
O (0.864, 0.806, 0.132)
O (0.636, 0.694, 0.632)

***

(2)
First-principles (SCAN) data for a crystal of K2MnV2O7 relaxed with PBEsol, as listed in the Alexandria database.

Summary:
As for the uncorrected formation energy: -2.500 eV/atom.

Cell lengths 5.512, 8.530, 8.530 Å; angles 90.00, 90.00, 90.00 degrees
Sites, in units of the cell vectors:
K (0.511, 0.661, 0.839)
K (0.489, 0.161, 0.661)
K (0.489, 0.839, 0.339)
K (0.511, 0.339, 0.161)
Mn (0.000, 0.500, 0.500)
Mn (0.000, 0.000, 0.000)
V (0.948, 0.141, 0.359)
V (0.052, 0.359, 0.859)
V (0.052, 0.641, 0.141)
V (0.948, 0.859, 0.641)
O (0.841, 0.000, 0.500)
O (0.159, 0.500, 0.000)
O (0.751, 0.356, 0.856)
O (0.249, 0.856, 0.644)
O (0.249, 0.144, 0.356)
O (0.751, 0.644, 0.144)
O (0.172, 0.411, 0.681)
O (0.172, 0.589, 0.319)
O (0.828, 0.319, 0.411)
O (0.828, 0.681, 0.589)
O (0.172, 0.819, 0.089)
O (0.828, 0.089, 0.181)
O (0.828, 0.911, 0.819)
O (0.172, 0.181, 0.911)

***

(3)
First-principles (SCAN) data for a crystal of KMn2Os relaxed with PBEsol, as listed in the Alexandria database.

Summary:
The calculation puts the density of states at the Fermi level at 0.382 states/eV per atom. The value obtained for the excess energy over the best structure of this formula in the dataset is 384.9 meV/atom.

Cell lengths 4.414, 4.414, 4.414 Å; angles 60.00, 60.00, 60.00 degrees
Sites, in units of the cell vectors:
K (0.500, 0.500, 0.500)
Mn (0.000, 0.000, 0.000)
Mn (0.750, 0.750, 0.750)
Os (0.250, 0.250, 0.250)

***

(4)
First-principles (SCAN) data for a crystal of K2MnOs relaxed with PBEsol, as listed in the Alexandria database.

Summary:
The calculation puts the density of states at the Fermi level at 0.619 states/eV per atom.

Cell lengths 2.826, 3.807, 10.060 Å; angles 90.00, 90.00, 90.00 degrees
Sites, in units of the cell vectors:
K (0.000, 0.000, 0.912)
K (0.500, 0.500, 0.337)
Mn (0.000, 0.000, 0.591)
Os (0.500, 0.500, 0.660)

***

| no. | raw total energy (eV/cell) |
| --- | --- |
| 1 | -455.62 |
| 2 | -287.02 |
| 3 | -112.16 |
| 4 | -104.39 |